This record from Alexandria describes a PBEsol-optimized structure of LiAs2PtBr. The functional is SCAN.

Values from the calculation:
For the total energy, the calculation gives -25.736 eV/atom. The theoretical density comes out at 7.9 g cm⁻³. Its symmetry is No. 123. Its uncorrected formation energy is 3.7 eV per formula unit. Its volume is 90.6 Å³/cell.

a = 4.4795 Å, b = 4.4795 Å, c = 4.5174 Å
α = 90.00°, β = 90.00°, γ = 90.00°
Fractional coordinates of all 5 atoms:
Li (0.0000, 0.0000, 0.0000)
As (0.0000, 0.5000, 0.0000)
As (0.5000, 0.0000, 0.0000)
Pt (0.5000, 0.5000, 0.5000)
Br (0.0000, 0.0000, 0.5000)